ErSc2InO: relaxed, PBE-GGA. Values from VASP.

```
&SYSTEM
  ibrav = 0, nat = 5, ntyp = 4
/
ATOMIC_SPECIES
Er 167.26 Er.upf
Sc 44.96 Sc.upf
In 114.82 In.upf
O 16.00 O.upf
CELL_PARAMETERS angstrom
4.499 0.000 0.000
0.000 4.499 0.000
0.000 0.000 4.678
ATOMIC_POSITIONS angstrom
Er 0.000 0.000 0.000
Sc 0.000 2.250 2.339
Sc 2.250 0.000 2.339
In 2.250 2.250 0.000
O 0.000 0.000 2.339
```

Results
ΔE_f (raw) ... -1.442 eV per atom
Crystal system ... tetragonal
SG ... P4/mmm
M_tot ... 0.0001 μB/atom
ρ ... 6.8 g cm⁻³

Sc3UTl4S8: relaxed, PBE-GGA. Values from VASP.

```
&SYSTEM
  ibrav = 0, nat = 16, ntyp = 4
/
ATOMIC_SPECIES
Sc 44.96 Sc.upf
U 238.03 U.upf
Tl 204.38 Tl.upf
S 32.06 S.upf
CELL_PARAMETERS angstrom
3.854 2.225 7.594
-3.854 2.225 7.594
0.000 -4.450 7.594
ATOMIC_POSITIONS angstrom
Sc -1.927 -1.112 7.594
Sc -1.927 1.112 15.188
Sc 0.000 2.225 7.594
U 0.000 0.000 0.000
Tl -3.854 0.000 11.391
Tl -1.927 1.112 3.797
Tl 1.927 1.112 3.797
Tl 0.000 0.000 11.391
S 0.000 -2.159 9.039
S -1.870 1.080 9.039
S 0.000 0.000 6.194
S -1.870 -1.080 13.742
S 1.870 1.080 9.039
S 0.000 0.000 16.588
S 1.870 -1.080 13.742
S 0.000 2.159 13.742
```

Results
ΔE_f (raw) ... -1.269 eV per atom
Crystal system ... trigonal
SG ... R-3m
M_tot ... 0.1839 μB/atom
ρ ... 6.1 g cm⁻³